1.
A plane-wave DFT calculation with meta-GGA SCAN was carried out for NbPtS2 at its PBEsol-relaxed geometry.

abc: 3.314 3.314 7.835
angles: 77.79 77.79 60.00
Fractional positions:
Pt 0.500 0.500 0.500
Nb 0.000 0.000 0.000
S 0.895 0.895 0.314
S 0.105 0.105 0.686

Values from the calculation:
theoretical density: 8.1 Mg/m³
raw total energy: -30.626 eV/atom
raw formation energy: 0.0189 eV per atom
symmetry: R-3m

***

2.
A plane-wave DFT calculation with meta-GGA SCAN was carried out for CrOs2Au at its PBEsol-relaxed geometry.

abc: 2.702 3.751 5.562
angles: 90.00 90.00 90.00
Fractional positions:
Os 0.000 0.000 0.280
Os 0.000 0.000 0.720
Au 0.500 0.500 0.000
Cr 0.500 0.500 0.500

Values from the calculation:
theoretical density: 18.5 Mg/m³
raw total energy: -57.443 eV/atom
calculated formation energy: 0.382 eV per atom
energy relative to the lowest polymorph listed for this composition: 89 meV per atom
symmetry: Pmmm

***

3.
A plane-wave DFT calculation with meta-GGA SCAN was carried out for BeAl2Tc at its PBEsol-relaxed geometry.

abc: 3.235 3.977 3.977
angles: 90.00 90.00 90.00
Fractional positions:
Al 0.000 0.000 0.500
Al 0.000 0.500 0.000
Be 0.500 0.500 0.500
Tc 0.500 0.000 0.000

Values from the calculation:
theoretical density: 5.2 Mg/m³
raw total energy: -14.032 eV/atom
calculated formation energy: -0.303 eV per atom
symmetry: P4/mmm

***

4.
A plane-wave DFT calculation with meta-GGA SCAN was carried out for BaPRh at its PBEsol-relaxed geometry.

abc: 4.850 4.850 4.850
angles: 60.00 60.00 60.00
Fractional positions:
P 0.000 0.000 0.000
Rh 0.500 0.500 0.500
Ba 0.250 0.250 0.250

Values from the calculation:
theoretical density: 5.6 Mg/m³
raw total energy: -27.090 eV/atom
calculated formation energy: 0.816 eV per atom
symmetry: F-43m

***

5.
A plane-wave DFT calculation with meta-GGA SCAN was carried out for Sm2Si5Ni3 at its PBEsol-relaxed geometry.

abc: 5.660 7.860 7.860
angles: 74.55 68.90 68.90
Fractional positions:
Si 0.893 0.957 0.258
Si 0.485 0.765 0.765
Si 0.250 0.500 0.500
Si 0.015 0.235 0.235
Si 0.985 0.765 0.765
Si 0.107 0.043 0.742
Si 0.750 0.500 0.500
Si 0.607 0.742 0.043
Si 0.515 0.235 0.235
Si 0.393 0.258 0.957
Sm 0.131 0.606 0.131
Sm 0.631 0.131 0.606
Sm 0.369 0.869 0.394
Sm 0.869 0.394 0.869
Ni 0.867 0.745 0.522
Ni 0.250 0.000 0.000
Ni 0.133 0.255 0.478
Ni 0.633 0.478 0.255
Ni 0.367 0.522 0.745
Ni 0.750 0.000 0.000

Values from the calculation:
theoretical density: 6.8 Mg/m³
raw total energy: -19.565 eV/atom
raw formation energy: -0.8169 eV per atom
symmetry: Ibam

***

6.
A plane-wave DFT calculation with meta-GGA SCAN was carried out for Ti2Rh at its PBEsol-relaxed geometry.

abc: 5.286 5.286 5.286
angles: 146.69 146.69 47.83
Fractional positions:
Rh 0.000 0.000 0.000
Ti 0.338 0.338 0.000
Ti 0.662 0.662 0.000

Values from the calculation:
theoretical density: 7.4 Mg/m³
raw total energy: -22.669 eV/atom
calculated formation energy: -0.726 eV per atom
symmetry: I4/mmm

***

7.
A plane-wave DFT calculation with meta-GGA SCAN was carried out for Rb2ZrAlS at its PBEsol-relaxed geometry.

abc: 5.217 6.127 6.127
angles: 90.00 90.00 90.00
Fractional positions:
Zr 0.500 0.000 0.000
Rb 0.000 0.500 0.000
Rb 0.000 0.000 0.500
S 0.500 0.500 0.500
Al 0.000 0.000 0.000

Values from the calculation:
theoretical density: 2.7 Mg/m³
raw total energy: -17.164 eV/atom
raw formation energy: 0.7476 eV per atom
symmetry: P4/mmm

***

8.
A plane-wave DFT calculation with meta-GGA SCAN was carried out for Sr2BeAg at its PBEsol-relaxed geometry.

abc: 4.376 4.376 8.116
angles: 74.36 74.36 60.00
Fractional positions:
Be 0.000 0.000 0.000
Sr 0.251 0.251 0.247
Sr 0.749 0.749 0.753
Ag 0.500 0.500 0.500

Values from the calculation:
theoretical density: 3.8 Mg/m³
raw total energy: -19.762 eV/atom
calculated formation energy: 0.306 eV per atom
symmetry: R-3m

***

9.
A plane-wave DFT calculation with meta-GGA SCAN was carried out for Cr2ReTe at its PBEsol-relaxed geometry.

abc: 3.057 4.301 4.301
angles: 90.00 90.00 90.00
Fractional positions:
Cr 0.000 0.500 0.000
Cr 0.000 0.000 0.500
Te 0.500 0.000 0.000
Re 0.500 0.500 0.500

Values from the calculation:
theoretical density: 12.3 Mg/m³
raw total energy: -35.742 eV/atom
raw formation energy: 0.5378 eV per atom
symmetry: P4/mmm

***

10.
A plane-wave DFT calculation with meta-GGA SCAN was carried out for LaRhSe4 at its PBEsol-relaxed geometry.

abc: 5.599 5.599 5.599
angles: 60.00 60.00 60.00
Fractional positions:
La 0.750 0.750 0.750
Se 0.374 0.374 0.879
Se 0.374 0.374 0.374
Se 0.879 0.374 0.374
Se 0.374 0.879 0.374
Rh 0.000 0.000 0.000

Values from the calculation:
theoretical density: 7.5 Mg/m³
raw total energy: -26.142 eV/atom
raw formation energy: 0.0559 eV per atom
symmetry: F-43m

***

11.
A plane-wave DFT calculation with meta-GGA SCAN was carried out for BeFeCo2 at its PBEsol-relaxed geometry.

abc: 2.708 2.708 5.290
angles: 90.00 90.00 90.00
Fractional positions:
Co 0.000 0.000 0.734
Co 0.000 0.000 0.266
Fe 0.500 0.500 0.000
Be 0.500 0.500 0.500

Values from the calculation:
theoretical density: 7.8 Mg/m³
raw total energy: -14.472 eV/atom
calculated formation energy: -0.199 eV per atom
symmetry: P4/mmm

***

12.
A plane-wave DFT calculation with meta-GGA SCAN was carried out for SmTe at its PBEsol-relaxed geometry.

abc: 4.372 4.372 4.372
angles: 60.00 60.00 60.00
Fractional positions:
Sm 0.000 0.000 0.000
Te 0.500 0.500 0.500

Values from the calculation:
theoretical density: 7.8 Mg/m³
raw total energy: -42.364 eV/atom
raw formation energy: -1.5177 eV per atom
symmetry: Fm-3m